Model w:
DFT (PBE-GGA) results for Tb2Al3Ag after structural relaxation.

Its space group is Fmmm, No. 69. The volume is 261.9 Å³ per cell.

Lattice parameters (Å, degrees): 9.172 8.727 5.821 75.21 66.93 37.86
Element x y z (fractional)
Tb1 0.247 0.753 0.753
Tb2 0.250 0.250 0.250
Tb3 0.750 0.750 0.750
Tb4 0.753 0.247 0.247
Al1 0.167 0.667 0.333
Al2 0.333 0.833 0.167
Al3 0.335 0.335 0.665
Al4 0.665 0.665 0.335
Al5 0.667 0.167 0.833
Al6 0.833 0.333 0.667
Ag1 0.168 0.168 0.832
Ag2 0.832 0.832 0.168

---

Model x:
DFT (PBE-GGA) results for Tb2Al3Ag after structural relaxation.

Its space group is Imm2, No. 44. The volume is 138.3 Å³ per cell.

Lattice parameters (Å, degrees): 8.349 8.349 8.349 151.72 149.83 41.83
Element x y z (fractional)
Tb1 0.000 0.000 0.000
Tb2 0.769 0.269 0.500
Al1 0.176 0.676 0.500
Al2 0.339 0.839 0.500
Al3 0.430 0.430 0.000
Ag1 0.593 0.593 0.000

---

What are the relative energies? In meV/atom: model w 0; model x 93.

---

Model w:
DFT (PBE-GGA) results for Tb2Al2Ag3 after structural relaxation.

Its space group is Cmcm, No. 63. The volume is 304.0 Å³ per cell.

Lattice parameters (Å, degrees): 10.019 10.019 7.269 90.00 90.00 155.38
Element x y z (fractional)
Tb1 0.058 0.942 0.750
Tb2 0.153 0.847 0.250
Tb3 0.847 0.153 0.750
Tb4 0.942 0.058 0.250
Al1 0.307 0.693 0.057
Al2 0.307 0.693 0.443
Al3 0.693 0.307 0.557
Al4 0.693 0.307 0.943
Ag1 0.226 0.774 0.750
Ag2 0.435 0.565 0.558
Ag3 0.435 0.565 0.942
Ag4 0.565 0.435 0.058
Ag5 0.565 0.435 0.442
Ag6 0.774 0.226 0.250

---

Model x:
DFT (PBE-GGA) results for Tb2Al2Ag3 after structural relaxation.

Its space group is Cmmm, No. 65. The volume is 149.6 Å³ per cell.

Lattice parameters (Å, degrees): 10.110 10.110 3.462 90.00 90.00 154.99
Element x y z (fractional)
Tb1 0.153 0.847 0.000
Tb2 0.847 0.153 0.000
Al1 0.285 0.715 0.500
Al2 0.715 0.285 0.500
Ag1 0.000 0.000 0.000
Ag2 0.430 0.570 0.500
Ag3 0.570 0.430 0.500

---

What are the relative energies? In meV/atom: model w 0; model x 40.

---

Model w:
DFT (PBE-GGA) results for TbAlAg2 after structural relaxation.

Its space group is Fm-3m, No. 225. The volume is 80.6 Å³ per cell.

Lattice parameters (Å, degrees): 4.849 4.849 4.849 60.00 60.00 60.00
Element x y z (fractional)
Tb1 0.000 0.000 0.000
Al1 0.500 0.500 0.500
Ag1 0.250 0.250 0.250
Ag2 0.750 0.750 0.750

---

Model x:
DFT (PBE-GGA) results for TbAlAg2 after structural relaxation.

Its space group is P4/mmm, No. 123. The volume is 84.3 Å³ per cell.

Lattice parameters (Å, degrees): 4.441 4.441 4.273 90.00 90.00 90.00
Element x y z (fractional)
Tb1 0.000 0.000 0.000
Al1 0.500 0.500 0.000
Ag1 0.000 0.500 0.500
Ag2 0.500 0.000 0.500

---

What are the relative energies? In meV/atom: model w 0; model x 162.